Density functional theory data (GGA-PBE) for a geometry-optimized CePmCu2 structure.

Lattice parameters (Å, degrees): 5.058 5.058 3.488 90.00 90.00 90.00
Atoms (fractional coordinates):
Ce  0.000  0.000  0.000
Pm  0.500  0.500  0.000
Cu  0.000  0.500  0.500
Cu  0.500  0.000  0.500

Calculated values
* crystal system: tetragonal
* E: -19.200 eV for the cell shown
* D(E_F): 1.859 states/eV per atom
* magnetic moment: 0.2302 μB per atom
* E_form: -81 meV/atom

***

Density functional theory data (GGA-PBE) for a geometry-optimized CePmCuPt structure.

Lattice parameters (Å, degrees): 4.589 5.645 5.645 40.05 90.00 90.00
Atoms (fractional coordinates):
Ce  0.000  0.000  0.000
Pm  0.500  0.722  0.722
Cu  0.500  0.440  0.440
Pt  0.000  0.287  0.287

Calculated values
* crystal system: orthorhombic
* E: -23.345 eV for the cell shown
* D(E_F): 1.885 states/eV per atom
* magnetic moment: 0.2181 μB per atom
* E_form: -631 meV/atom

***

Density functional theory data (GGA-PBE) for a geometry-optimized CePmCuPt structure.

Lattice parameters (Å, degrees): 5.047 5.047 5.047 60.00 60.00 60.00
Atoms (fractional coordinates):
Ce  0.000  0.000  0.000
Pm  0.500  0.500  0.500
Cu  0.250  0.250  0.250
Pt  0.750  0.750  0.750

Calculated values
* crystal system: cubic
* E: -23.098 eV for the cell shown
* D(E_F): 1.897 states/eV per atom
* magnetic moment: 0.2066 μB per atom
* E_form: -569 meV/atom

***

Density functional theory data (GGA-PBE) for a geometry-optimized CePmCuRh structure.

Lattice parameters (Å, degrees): 4.989 4.989 4.989 60.00 60.00 60.00
Atoms (fractional coordinates):
Ce  0.000  0.000  0.000
Pm  0.500  0.500  0.500
Cu  0.750  0.750  0.750
Rh  0.250  0.250  0.250

Calculated values
* crystal system: cubic
* E: -23.681 eV for the cell shown
* D(E_F): 1.779 states/eV per atom
* magnetic moment: 0.1434 μB per atom
* E_form: -387 meV/atom